A relaxed TaRh crystal. Source: Alexandria, functional PBE.

Its formation energy is -0.41 eV per atom. The total magnetization comes out at 0.0 μB per formula unit. The calculation puts the density at 14.6 g/cm³.

a b c (Å): 9.347 2.873 4.888
angles (deg): 90.00 99.72 90.00
Space group C2/m (No. 12)
Inequivalent atoms, fractional coordinates:
1 Ta 0.118 0.000 0.334
2 Rh 0.129 0.500 0.846

***

A relaxed Ta5Rh3 crystal. Source: Alexandria, functional PBE.

For the excess energy over the best structure of this formula in the dataset, the calculation gives 0.000 kcal/mol of atoms. Its formation energy is -0.28 eV per atom. The total magnetization comes out at 0.0 μB per formula unit. The calculation puts the density at 14.9 g/cm³.

a b c (Å): 5.201 14.378 7.614
angles (deg): 90.00 107.62 90.00
Space group C2/m (No. 12)
Inequivalent atoms, fractional coordinates:
1 Ta 0.099 0.176 0.205
2 Ta 0.163 0.398 0.352
3 Ta 0.247 0.500 0.993
4 Rh 0.000 0.246 0.500
5 Rh 0.000 0.327 0.000
6 Rh 0.141 0.000 0.348

***

A relaxed Ta5Rh3 crystal. Source: Alexandria, functional PBE.

For the excess energy over the best structure of this formula in the dataset, the calculation gives 0.129 kcal/mol of atoms. Its formation energy is -0.28 eV per atom. The total magnetization comes out at 0.0 μB per formula unit. The calculation puts the density at 15.1 g/cm³.

a b c (Å): 6.939 8.779 4.376
angles (deg): 90.00 90.00 90.00
Space group Cmmm (No. 65)
Inequivalent atoms, fractional coordinates:
1 Ta 0.000 0.000 0.000
2 Ta 0.243 0.000 0.500
3 Ta 0.250 0.250 0.000
4 Rh 0.000 0.270 0.500
5 Rh 0.000 0.500 0.000

***

A relaxed TaRh crystal. Source: Alexandria, functional PBE.

Its formation energy is 1.03 eV per atom. The total magnetization comes out at 0.0 μB per formula unit. The calculation puts the density at 8.1 g/cm³.

a b c (Å): 7.043 7.043 7.043
angles (deg): 90.00 90.00 90.00
Space group Pm-3n (No. 223)
Inequivalent atoms, fractional coordinates:
1 Ta 0.000 0.250 0.500
2 Rh 0.000 0.500 0.250

***

A relaxed TaRh2 crystal. Source: Alexandria, functional PBE.

Its formation energy is -0.60 eV per atom. The total magnetization comes out at 0.0 μB per formula unit. The calculation puts the density at 14.0 g/cm³.

a b c (Å): 3.948 12.077 3.842
angles (deg): 90.00 90.00 90.00
Space group Cmmm (No. 65)
Inequivalent atoms, fractional coordinates:
1 Ta 0.000 0.154 0.000
2 Rh 0.000 0.000 0.500
3 Rh 0.000 0.333 0.500
4 Rh 0.000 0.500 0.000

***

A relaxed TaRh2 crystal. Source: Alexandria, functional PBE.

Its formation energy is -0.60 eV per atom. The total magnetization comes out at 0.0 μB per formula unit. The calculation puts the density at 14.0 g/cm³.

a b c (Å): 3.887 3.887 24.250
angles (deg): 90.00 90.00 90.00
Space group I4_1/amd (No. 141, origin choice 2)
Inequivalent atoms, fractional coordinates:
1 Ta 0.000 0.250 0.298
2 Rh 0.000 0.250 0.126
3 Rh 0.000 0.250 0.792

***

A relaxed TaRh4 crystal. Source: Alexandria, functional PBE.

For the excess energy over the best structure of this formula in the dataset, the calculation gives 0.000 kcal/mol of atoms. Its formation energy is -0.38 eV per atom. The total magnetization comes out at 0.0 μB per formula unit. The calculation puts the density at 13.3 g/cm³.

a b c (Å): 6.133 6.133 3.937
angles (deg): 90.00 90.00 90.00
Space group I4/m (No. 87)
Inequivalent atoms, fractional coordinates:
1 Ta 0.000 0.000 0.000
2 Rh 0.102 0.303 0.500

***

A relaxed TaRh crystal. Source: Alexandria, functional PBE.

Its formation energy is -0.23 eV per atom. The total magnetization comes out at 0.0 μB per formula unit. The calculation puts the density at 14.6 g/cm³.

a b c (Å): 2.8776 2.8776 4.4898
angles (deg): 90.00 90.00 120.00
Space group P-6m2 (No. 187)
Inequivalent atoms, fractional coordinates:
1 Ta 0.0000 0.0000 0.0000
2 Rh 0.6667 0.3333 0.5000

***

- The highest density belongs to which entry?
  number 3